[1]
The following is a PBE-GGA calculation of LaThRh2 after structural relaxation, from the Alexandria database.

Unit cell a=5.0490 b=5.0490 c=5.0490 alpha=60.00 beta=60.00 gamma=60.00
Element x y z (fractional)
Rh 0.7500 0.7500 0.7500
Rh 0.2500 0.2500 0.2500
Th 0.5000 0.5000 0.5000
La 0.0000 0.0000 0.0000

Results
The value obtained for the energy of formation from the pure elements is -0.70 eV per atom. Its calculated total energy is -7.47 eV/atom.

[2]
The following is a PBE-GGA calculation of LaThRh after structural relaxation, from the Alexandria database.

Unit cell a=4.6208 b=4.6387 c=4.6387 alpha=120.00 beta=90.00 gamma=90.00
Element x y z (fractional)
Rh 0.0996 0.0000 0.0000
La 0.6862 0.6667 0.3333
Th 0.2142 0.3333 0.6667

Results
The value obtained for the energy of formation from the pure elements is -0.38 eV per atom. The calculation puts the distance to the lowest polymorph of the same formula at 118.7 meV per atom. Its calculated total energy is -6.94 eV/atom.

[3]
The following is a PBE-GGA calculation of La3Th2Rh4 after structural relaxation, from the Alexandria database.

Unit cell a=4.2022 b=7.2487 c=9.0811 alpha=77.15 beta=76.62 gamma=73.15
Element x y z (fractional)
Th 0.3860 0.8434 0.3847
Th 0.6140 0.1566 0.6153
Rh 0.5869 0.7056 0.1206
Rh 0.4131 0.2944 0.8794
Rh 0.2186 0.8763 0.6864
Rh 0.7814 0.1237 0.3136
La 0.8093 0.5830 0.7984
La 0.0000 0.0000 0.0000
La 0.1907 0.4170 0.2016

Results
The value obtained for the energy of formation from the pure elements is -0.71 eV per atom. Its calculated total energy is -7.27 eV/atom.

[4]
The following is a PBE-GGA calculation of LaTh2Rh9 after structural relaxation, from the Alexandria database.

Unit cell a=5.3340 b=5.3340 c=9.4236 alpha=73.56 beta=73.56 gamma=60.00
Element x y z (fractional)
Rh 0.3331 0.3331 0.0008
Rh 0.4162 0.9188 0.2488
Rh 0.6669 0.6669 0.9992
Rh 0.4162 0.4162 0.2488
Rh 0.9188 0.4162 0.2488
Rh 0.5000 0.5000 0.5000
Rh 0.0812 0.5838 0.7512
Rh 0.5838 0.5838 0.7512
Rh 0.5838 0.0812 0.7512
Th 0.1373 0.1373 0.5881
Th 0.8627 0.8627 0.4119
La 0.0000 0.0000 0.0000

Results
The value obtained for the energy of formation from the pure elements is -0.61 eV per atom. Its calculated total energy is -7.77 eV/atom.

[5]
The following is a PBE-GGA calculation of LaTh3Rh4 after structural relaxation, from the Alexandria database.

Unit cell a=7.1208 b=7.1325 c=8.2307 alpha=90.00 beta=90.00 gamma=109.36
Element x y z (fractional)
La 0.7500 0.0000 0.8739
La 0.2500 0.0000 0.1261
Rh 0.4978 0.2622 0.8698
Rh 0.0059 0.2522 0.6183
Rh 0.9941 0.7478 0.3817
Rh 0.9978 0.2622 0.1302
Rh 0.5059 0.2522 0.3817
Rh 0.0022 0.7378 0.8698
Rh 0.5022 0.7378 0.1302
Rh 0.4941 0.7478 0.6183
Th 0.2500 0.0000 0.6257
Th 0.2500 0.5000 0.3746
Th 0.7500 0.5000 0.6254
Th 0.7500 0.5000 0.1271
Th 0.2500 0.5000 0.8729
Th 0.7500 0.0000 0.3743

Results
The value obtained for the energy of formation from the pure elements is -0.85 eV per atom. Its calculated total energy is -7.92 eV/atom.

[6]
The following is a PBE-GGA calculation of LaTh2Rh3 after structural relaxation, from the Alexandria database.

Unit cell a=7.1361 b=7.1361 c=13.0231 alpha=100.56 beta=100.56 gamma=109.33
Element x y z (fractional)
Rh 0.8209 0.3325 0.1625
Rh 0.5076 0.0076 0.5000
Rh 0.2576 0.2576 0.0000
Rh 0.0800 0.0916 0.6625
Rh 0.4291 0.4175 0.3375
Rh 0.3416 0.8300 0.1625
Rh 0.6675 0.1791 0.8375
Rh 0.5825 0.5709 0.6625
Rh 0.7424 0.7424 0.0000
Rh 0.9084 0.9200 0.3375
Rh 0.9924 0.4924 0.5000
Rh 0.1700 0.6584 0.8375
Th 0.5828 0.5828 0.1657
Th 0.6672 0.1672 0.3343
Th 0.2503 0.2503 0.5007
Th 0.9997 0.4997 0.9993
Th 0.4172 0.4172 0.8343
Th 0.7497 0.7497 0.4993
Th 0.8328 0.3328 0.6657
Th 0.5003 0.0003 0.0007
La 0.1664 0.6664 0.3329
La 0.0836 0.0836 0.1671
La 0.9164 0.9164 0.8329
La 0.3336 0.8336 0.6671

Results
The value obtained for the energy of formation from the pure elements is -0.83 eV per atom. Its calculated total energy is -7.80 eV/atom.

[7]
The following is a PBE-GGA calculation of LaTh2Rh2 after structural relaxation, from the Alexandria database.

Unit cell a=5.1611 b=5.1610 c=6.2063 alpha=114.69 beta=114.69 gamma=90.00
Element x y z (fractional)
La 0.0000 0.0000 0.0000
Rh 0.3655 0.3655 0.7292
Rh 0.6345 0.6345 0.2708
Th 0.2498 0.7502 0.5000
Th 0.7502 0.2498 0.5000

Results
The value obtained for the energy of formation from the pure elements is -0.58 eV per atom. Its calculated total energy is -7.47 eV/atom.

[8]
The following is a PBE-GGA calculation of LaThRh after structural relaxation, from the Alexandria database.

Unit cell a=3.6816 b=3.6816 c=6.3692 alpha=106.80 beta=106.80 gamma=90.00
Element x y z (fractional)
Th 0.3025 0.3025 0.6050
Rh 0.6905 0.6905 0.3809
La 0.0071 0.0071 0.0141

Results
The value obtained for the energy of formation from the pure elements is -0.50 eV per atom. The calculation puts the distance to the lowest polymorph of the same formula at 0.0 meV per atom. Its calculated total energy is -7.06 eV/atom.

[9]
The following is a PBE-GGA calculation of La2ThRh2 after structural relaxation, from the Alexandria database.

Unit cell a=6.8749 b=7.4843 c=7.4843 alpha=63.75 beta=62.66 gamma=62.66
Element x y z (fractional)
Rh 0.4045 0.8455 0.3456
Rh 0.0955 0.6544 0.1545
Rh 0.9045 0.3456 0.8455
Rh 0.5955 0.1545 0.6544
La 0.6567 0.7142 0.9724
La 0.8433 0.0276 0.2858
La 0.1567 0.9724 0.7142
La 0.3433 0.2858 0.0276
Th 0.7500 0.5000 0.5000
Th 0.2500 0.5000 0.5000

Results
The value obtained for the energy of formation from the pure elements is -0.59 eV per atom. Its calculated total energy is -6.99 eV/atom.

[10]
The following is a PBE-GGA calculation of LaThRh2 after structural relaxation, from the Alexandria database.

Unit cell a=3.5805 b=3.5805 c=7.2517 alpha=90.00 beta=90.00 gamma=90.00
Element x y z (fractional)
Th 0.5000 0.5000 0.0000
Rh 0.0000 0.0000 0.7829
Rh 0.0000 0.0000 0.2171
La 0.5000 0.5000 0.5000

Results
The value obtained for the energy of formation from the pure elements is -0.75 eV per atom. Its calculated total energy is -7.52 eV/atom.

[11]
The following is a PBE-GGA calculation of LaThRh after structural relaxation, from the Alexandria database.

Unit cell a=4.9816 b=4.9816 c=4.9816 alpha=60.00 beta=60.00 gamma=60.00
Element x y z (fractional)
Th 0.5000 0.5000 0.5000
La 0.0000 0.0000 0.0000
Rh 0.2500 0.2500 0.2500

Results
The value obtained for the energy of formation from the pure elements is -0.35 eV per atom. The calculation puts the distance to the lowest polymorph of the same formula at 148.7 meV per atom. Its calculated total energy is -6.91 eV/atom.

[12]
The following is a PBE-GGA calculation of LaThRh after structural relaxation, from the Alexandria database.

Unit cell a=6.2588 b=7.1226 c=8.0401 alpha=97.39 beta=90.00 gamma=90.00
Element x y z (fractional)
Th 0.1320 0.7023 0.8738
Th 0.8680 0.2977 0.1262
Th 0.6320 0.7977 0.6262
Th 0.3680 0.2023 0.3738
La 0.1246 0.6872 0.3887
La 0.6246 0.8128 0.1113
La 0.8754 0.3128 0.6113
La 0.3754 0.1872 0.8887
Rh 0.6190 0.5289 0.3418
Rh 0.3810 0.4711 0.6582
Rh 0.1190 0.9711 0.1582
Rh 0.8810 0.0289 0.8418

Results
The value obtained for the energy of formation from the pure elements is -0.48 eV per atom. The calculation puts the distance to the lowest polymorph of the same formula at 19.1 meV per atom. Its calculated total energy is -7.04 eV/atom.

[13]
The following is a PBE-GGA calculation of LaTi2Rh2 after structural relaxation, from the Alexandria database.

Unit cell a=4.3143 b=4.3143 c=6.2100 alpha=69.67 beta=69.67 gamma=90.00
Element x y z (fractional)
Rh 0.3737 0.3737 0.2525
Rh 0.6263 0.6263 0.7475
Ti 0.2500 0.7500 0.5000
Ti 0.7500 0.2500 0.5000
La 0.0000 0.0000 0.0000

Results
The value obtained for the energy of formation from the pure elements is -0.65 eV per atom. The calculation puts the distance to the lowest polymorph of the same formula at 0.0 meV per atom. Its calculated total energy is -7.74 eV/atom.

[14]
The following is a PBE-GGA calculation of La2Ti2Rh after structural relaxation, from the Alexandria database.

Unit cell a=6.6487 b=6.6487 c=5.3148 alpha=90.00 beta=90.00 gamma=90.00
Element x y z (fractional)
La 0.6706 0.8294 0.5000
La 0.3294 0.1706 0.5000
La 0.1706 0.6706 0.5000
La 0.8294 0.3294 0.5000
Ti 0.6517 0.1517 0.0000
Ti 0.1517 0.3483 0.0000
Ti 0.3483 0.8483 0.0000
Ti 0.8483 0.6517 0.0000
Rh 0.0000 0.0000 0.0000
Rh 0.5000 0.5000 0.0000

Results
The value obtained for the energy of formation from the pure elements is -0.10 eV per atom. Its calculated total energy is -6.70 eV/atom.

[15]
The following is a PBE-GGA calculation of LaTiRh2 after structural relaxation, from the Alexandria database.

Unit cell a=3.1461 b=3.1461 c=7.4465 alpha=90.00 beta=90.00 gamma=90.00
Element x y z (fractional)
Rh 0.0000 0.0000 0.8041
Rh 0.0000 0.0000 0.1959
Ti 0.5000 0.5000 0.0000
La 0.5000 0.5000 0.5000

Results
The value obtained for the energy of formation from the pure elements is -0.65 eV per atom. Its calculated total energy is -7.53 eV/atom.

[16]
The following is a PBE-GGA calculation of LaTi2Rh2 after structural relaxation, from the Alexandria database.

Unit cell a=4.4793 b=4.4793 c=5.9652 alpha=67.95 beta=67.95 gamma=90.00
Each line ends with the local moment (μB).
Element x y z (fractional)
Ti 0.3653 0.3653 0.2694  0.48
Ti 0.6347 0.6347 0.7306  0.48
Rh 0.7500 0.2500 0.5000  0.00
Rh 0.2500 0.7500 0.5000  0.00
La 0.0000 0.0000 0.0000  0.04

Results
The value obtained for the energy of formation from the pure elements is -0.40 eV per atom. The calculation puts the distance to the lowest polymorph of the same formula at 254.2 meV per atom. Its calculated total energy is -7.48 eV/atom.

[17]
The following is a PBE-GGA calculation of LaTi3Rh after structural relaxation, from the Alexandria database.

Unit cell a=4.7009 b=4.7009 c=4.7009 alpha=90.00 beta=90.00 gamma=90.00
Element x y z (fractional)
Ti 0.5000 0.0000 0.0000
Ti 0.0000 0.5000 0.0000
Ti 0.0000 0.0000 0.5000
Rh 0.5000 0.5000 0.5000
La 0.0000 0.0000 0.0000

Results
The value obtained for the energy of formation from the pure elements is 1.34 eV per atom. The calculation puts the distance to the lowest polymorph of the same formula at 1256.9 meV per atom. Its calculated total energy is -5.85 eV/atom.

[18]
The following is a PBE-GGA calculation of La2TiRh after structural relaxation, from the Alexandria database.

Unit cell a=5.1942 b=5.1942 c=5.1942 alpha=60.00 beta=60.00 gamma=60.00
Each line ends with the local moment (μB).
Element x y z (fractional)
La 0.7500 0.7500 0.7500  0.18
La 0.2500 0.2500 0.2500  0.18
Ti 0.0000 0.0000 0.0000  1.60
Rh 0.5000 0.5000 0.5000  0.09

Results
The value obtained for the energy of formation from the pure elements is -0.01 eV per atom. The calculation puts the distance to the lowest polymorph of the same formula at 0.0 meV per atom. Its calculated total energy is -6.28 eV/atom.

[19]
The following is a PBE-GGA calculation of LaTi2Rh after structural relaxation, from the Alexandria database.

Unit cell a=4.6714 b=4.6714 c=9.6786 alpha=76.04 beta=76.04 gamma=90.00
Element x y z (fractional)
Rh 0.2500 0.7500 0.5000
Rh 0.5000 0.5000 0.0000
Ti 0.3751 0.1250 0.2500
Ti 0.8750 0.6251 0.7500
Ti 0.3749 0.6250 0.2500
Ti 0.3750 0.6249 0.7500
La 0.7500 0.2500 0.5000
La 0.0000 0.0000 0.0000

Results
The value obtained for the energy of formation from the pure elements is 0.32 eV per atom. The calculation puts the distance to the lowest polymorph of the same formula at 373.4 meV per atom. Its calculated total energy is -6.70 eV/atom.

[20]
The following is a PBE-GGA calculation of LaTi2Rh2 after structural relaxation, from the Alexandria database.

Unit cell a=7.8080 b=7.8080 c=3.0508 alpha=90.00 beta=90.00 gamma=90.00
Element x y z (fractional)
Ti 0.6439 0.8561 0.5000
Ti 0.1439 0.6439 0.5000
Ti 0.8561 0.3561 0.5000
Ti 0.3561 0.1439 0.5000
La 0.0000 0.0000 0.0000
La 0.5000 0.5000 0.0000
Rh 0.1382 0.3618 0.0000
Rh 0.8618 0.6382 0.0000
Rh 0.6382 0.1382 0.0000
Rh 0.3618 0.8618 0.0000

Results
The value obtained for the energy of formation from the pure elements is -0.39 eV per atom. The calculation puts the distance to the lowest polymorph of the same formula at 261.4 meV per atom. Its calculated total energy is -7.48 eV/atom.